# 1
Material: Li4MgZn
Method: DFT, PBE
State: relaxed

Cell lengths 4.6236, 4.6236, 5.6300 Å; angles 90.55, 90.55, 118.53 degrees
Sites, in units of the cell vectors:
Li1 0.1642 0.8295 0.7341
Li2 0.1705 0.8358 0.2659
Li3 0.8295 0.1642 0.7341
Li4 0.8358 0.1705 0.2659
Mg1 0.5000 0.5000 0.0000
Zn1 0.5000 0.5000 0.5000

Calculated values
Spin magnetization (μB/atom): 0.000
Polymorph energy (0 for the lowest one) (eV per atom): 0.0004
Raw total energy (eV/cell): -10.987

---

# 2
Material: PuFeCl
Method: DFT, PBE
State: relaxed

Cell lengths 10.9564, 10.9564, 10.9564 Å; angles 20.59, 20.59, 20.59 degrees
Sites, in units of the cell vectors:
Pu1 0.0593 0.0593 0.0593
Pu2 0.9407 0.9407 0.9407
Fe1 0.3390 0.3390 0.3390
Fe2 0.6610 0.6610 0.6610
Cl1 0.2203 0.2203 0.2203
Cl2 0.7797 0.7797 0.7797

Calculated values
Spin magnetization (μB/atom): 1.298
Formation energy (no corrections) (kJ per mole of atoms): -76
Raw total energy (eV/cell): -54.024